1.
Density functional theory data (GGA-PBE) for TmNpPb2 after structural relaxation.

Results
- Total energy: -25.06 eV/f.u.
- Mass density: 12471 kg/m3

Cell and atoms, written as CIF:
```
data_TmNpPb2
_chemical_formula_sum 'Tm1 Np1 Pb2'
_symmetry_space_group_name_H-M 'P 4/m m m'
_symmetry_Int_Tables_number 123
_symmetry_space_group_name_Hall '-P 4 2'
_cell_length_a 3.463
_cell_length_b 3.463
_cell_length_c 9.107
_cell_angle_alpha 90.00
_cell_angle_beta 90.00
_cell_angle_gamma 90.00
loop_
_atom_site_label
_atom_site_type_symbol
_atom_site_fract_x
_atom_site_fract_y
_atom_site_fract_z
_atom_site_occupancy
Tm1 Tm 0.000 0.000 0.000 1
Np1 Np 0.000 0.000 0.500 1
Pb1 Pb 0.500 0.500 0.244 1
```

=====

2.
Density functional theory data (GGA-PBE) for In2ReAs after structural relaxation.

Results
- Total energy: -20.31 eV/f.u.
- Mass density: 10588 kg/m3

Cell and atoms, written as CIF:
```
data_In2ReAs
_chemical_formula_sum 'In4 Re2 As2'
_symmetry_space_group_name_H-M 'C m m m'
_symmetry_Int_Tables_number 65
_symmetry_space_group_name_Hall '-C 2 2'
_cell_length_a 6.311
_cell_length_b 8.390
_cell_length_c 2.907
_cell_angle_alpha 90.00
_cell_angle_beta 90.00
_cell_angle_gamma 90.00
loop_
_atom_site_label
_atom_site_type_symbol
_atom_site_fract_x
_atom_site_fract_y
_atom_site_fract_z
_atom_site_occupancy
In1 In 0.250 0.250 0.000 1
Re1 Re 0.000 0.000 0.500 1
As1 As 0.000 0.500 0.500 1
```